No. 1
Below is crystalline DyZn12Rh6 at its relaxed geometry, with properties calculated at the PBE-GGA level.

Cell lengths 7.068, 7.068, 7.068 Å; angles 104.32, 104.32, 104.32 degrees
Positions (direct):
Dy  0.000  0.000  0.000
Zn  0.889  0.111  0.500
Zn  0.856  0.601  0.601
Zn  0.601  0.601  0.856
Zn  0.399  0.144  0.399
Zn  0.399  0.399  0.144
Zn  0.144  0.399  0.399
Zn  0.111  0.500  0.889
Zn  0.500  0.889  0.111
Zn  0.111  0.889  0.500
Zn  0.889  0.500  0.111
Zn  0.500  0.111  0.889
Zn  0.601  0.856  0.601
Rh  0.706  0.272  0.272
Rh  0.272  0.272  0.706
Rh  0.272  0.706  0.272
Rh  0.728  0.728  0.294
Rh  0.294  0.728  0.728
Rh  0.728  0.294  0.728

Summary:
ρ (kg/m³): 8299
Energy relative to the elements (eV/atom): -0.1769
Space group: No. 166
Magnetic moment (μB per cell): 0.00



No. 2
Below is crystalline DyZn6Rh2 at its relaxed geometry, with properties calculated at the PBE-GGA level.

Cell lengths 3.217, 7.481, 7.481 Å; angles 57.46, 77.58, 77.58 degrees
Positions (direct):
Dy  0.000  0.000  0.000
Zn  0.679  0.010  0.633
Zn  0.321  0.990  0.367
Zn  0.321  0.367  0.990
Zn  0.500  0.664  0.336
Zn  0.500  0.336  0.664
Zn  0.679  0.633  0.010
Rh  0.857  0.643  0.643
Rh  0.143  0.357  0.357

Summary:
ρ (kg/m³): 8587
Energy relative to the elements (eV/atom): -0.2341
Space group: No. 71
Magnetic moment (μB per cell): 0.00



No. 3
Below is crystalline Dy3Zn2Rh7 at its relaxed geometry, with properties calculated at the PBE-GGA level.

Cell lengths 5.386, 5.386, 8.873 Å; angles 72.33, 72.33, 60.00 degrees
Positions (direct):
Dy  0.000  0.000  0.000
Dy  0.859  0.859  0.422
Dy  0.141  0.141  0.578
Zn  0.665  0.665  0.004
Zn  0.335  0.335  0.996
Rh  0.500  0.500  0.500
Rh  0.922  0.415  0.248
Rh  0.415  0.922  0.248
Rh  0.415  0.415  0.248
Rh  0.078  0.585  0.752
Rh  0.585  0.585  0.752
Rh  0.585  0.078  0.752

Summary:
ρ (kg/m³): 10646
Energy relative to the elements (eV/atom): -0.6449
Space group: No. 166
Magnetic moment (μB per cell): 0.00